Below is a relaxed structure of YTa2, with properties calculated at the GGA-PBE level.

POSCAR file:
```
YTa2
1.0
5.040 0.000 0.000
0.000 5.040 0.000
0.000 0.000 3.018
Y Ta
1 2
Cartesian
0.000 0.000 0.000
0.000 2.520 1.509
2.520 0.000 1.509
```

Calculated values
energy above the lowest structure with this stoichiometry = 1506.7 meV/atom
calculated total energy = -24.9 eV for the cell shown
energy relative to the elements = 1.75 eV/atom